# CoNiBi

A relaxed structure of CoNiBi (PBE, Alexandria via LeMat-Bulk).

Properties
The crystal system is orthorhombic. The calculation puts the formation energy at 4.22 kcal/mol of atoms.

Cell lengths 3.9599, 4.0615, 12.3308 Å; angles 90.00, 90.00, 90.00 degrees
Space group Imm2 (No. 44)
One atom of each set of equivalent atoms:
Co1 0.0000 0.0000 0.0000 [2 per cell]
Co2 0.0000 0.5000 0.3954 [2 per cell]
Ni1 0.0000 0.0000 0.7754 [2 per cell]
Ni2 0.0000 0.5000 0.8912 [2 per cell]
Bi1 0.0000 0.0000 0.2336 [2 per cell]
Bi2 0.0000 0.0000 0.5520 [2 per cell]



# CoNiBi

A relaxed structure of CoNiBi (PBE, Alexandria via LeMat-Bulk).

Properties
The crystal system is monoclinic. The calculation puts the formation energy at 2.03 kcal/mol of atoms.

Cell lengths 6.9019, 3.9807, 8.0983 Å; angles 90.00, 90.15, 90.00 degrees
Space group C2/m (No. 12)
One atom of each set of equivalent atoms:
Co1 0.1667 0.0000 0.0285 [4 per cell]
Ni1 0.0000 0.5000 0.1443 [4 per cell]
Bi1 0.1664 0.0000 0.6902 [4 per cell]



# CoNiBi

A relaxed structure of CoNiBi (PBE, Alexandria via LeMat-Bulk).

Properties
The crystal system is triclinic. The calculation puts the formation energy at 2.18 kcal/mol of atoms.

Cell lengths 3.9762, 3.9848, 8.5362 Å; angles 89.97, 77.09, 60.15 degrees
Space group P-1 (No. 2)
One atom of each set of equivalent atoms:
Co1 0.1842 0.1584 0.4724 [2 per cell]
Ni1 0.4102 0.5429 0.6415 [2 per cell]
Bi1 0.0271 0.7398 0.1955 [2 per cell]



What did the first record say?
# CoNiBi

A relaxed structure of CoNiBi (PBE, Alexandria via LeMat-Bulk).

Properties
The crystal system is orthorhombic. The calculation puts the formation energy at 4.22 kcal/mol of atoms.

Cell lengths 3.9599, 4.0615, 12.3308 Å; angles 90.00, 90.00, 90.00 degrees
Space group Imm2 (No. 44)
One atom of each set of equivalent atoms:
Co1 0.0000 0.0000 0.0000 [2 per cell]
Co2 0.0000 0.5000 0.3954 [2 per cell]
Ni1 0.0000 0.0000 0.7754 [2 per cell]
Ni2 0.0000 0.5000 0.8912 [2 per cell]
Bi1 0.0000 0.0000 0.2336 [2 per cell]
Bi2 0.0000 0.0000 0.5520 [2 per cell]